[1]
DFT (GGA-PBEsol) results for an optimized crystal structure of KCr2P.

Structure (CIF):
```
data_KCr2P
_cell_length_a 2.9938
_cell_length_b 2.9938
_cell_length_c 7.7263
_cell_angle_alpha 90.00
_cell_angle_beta 90.00
_cell_angle_gamma 90.00
_symmetry_space_group_name_H-M 'P 1'
_symmetry_Int_Tables_number 1
loop_
_symmetry_equiv_pos_as_xyz
'x,y,z'
loop_
_atom_site_label
_atom_site_fract_x
_atom_site_fract_y
_atom_site_fract_z
_atom_site_occupancy
Cr1 0.0000 0.0000 0.9906 1
Cr2 0.5000 0.5000 0.1535 1
K1 0.0000 0.0000 0.5252 1
P1 0.5000 0.5000 0.8308 1
```

E_tot: -26.28 eV/cell
calculated density: 4.174 g/cm³
formation energy from the elements: 0.281 eV per atom
space-group type: P4mm, No. 99



[2]
DFT (GGA-PBEsol) results for an optimized crystal structure of TlBiAu2Se.

Structure (CIF):
```
data_TlBiAu2Se
_cell_length_a 5.1933
_cell_length_b 5.1933
_cell_length_c 5.9968
_cell_angle_alpha 90.00
_cell_angle_beta 90.00
_cell_angle_gamma 90.00
_symmetry_space_group_name_H-M 'P 1'
_symmetry_Int_Tables_number 1
loop_
_symmetry_equiv_pos_as_xyz
'x,y,z'
loop_
_atom_site_label
_atom_site_fract_x
_atom_site_fract_y
_atom_site_fract_z
_atom_site_occupancy
Tl1 0.0000 0.0000 0.5000 1
Au1 0.0000 0.5000 0.0000 1
Au2 0.5000 0.0000 0.0000 1
Bi1 0.0000 0.0000 0.0000 1
Se1 0.5000 0.5000 0.5000 1
```

E_tot: -15.03 eV/cell
calculated density: 9.099 g/cm³
space-group type: P4/mmm, No. 123
ΔE_f (raw): 3.59 eV per formula unit